# GGA-PBE TaMnIn2, relaxed
data_TaMnIn2
_symmetry_space_group_name_H-M 'P 1'
_symmetry_Int_Tables_number 1
_cell_length_a 2.960
_cell_length_b 2.960
_cell_length_c 8.528
_cell_angle_alpha 90.00
_cell_angle_beta 90.00
_cell_angle_gamma 90.05
loop_
_symmetry_equiv_pos_as_xyz
'x,y,z'
loop_
_atom_site_label
_atom_site_type_symbol
_atom_site_fract_x
_atom_site_fract_y
_atom_site_fract_z
In1 In 0.000 0.000 0.486
In2 In 0.000 0.000 0.014
Mn1 Mn 0.500 0.500 0.250
Ta1 Ta 0.500 0.500 0.750
# - distance to the lowest polymorph of the same formula (meV per atom) = 27.9
# - formation energy from the elements (meV per atom) = 221.2
# - N(E_F) (states/eV/f.u.) = 2.356

# GGA-PBE Pr2MgZn2Ni5, relaxed
data_Pr2MgZn2Ni5
_symmetry_space_group_name_H-M 'P 1'
_symmetry_Int_Tables_number 1
_cell_length_a 3.668
_cell_length_b 9.602
_cell_length_c 9.602
_cell_angle_alpha 90.00
_cell_angle_beta 90.00
_cell_angle_gamma 90.00
loop_
_symmetry_equiv_pos_as_xyz
'x,y,z'
loop_
_atom_site_label
_atom_site_type_symbol
_atom_site_fract_x
_atom_site_fract_y
_atom_site_fract_z
Ni1 Ni 0.500 0.719 0.438
Ni2 Ni 0.500 0.438 0.281
Ni3 Ni 0.500 0.000 0.500
Ni4 Ni 0.500 0.281 0.562
Ni5 Ni 0.500 0.562 0.719
Ni6 Ni 0.500 0.219 0.062
Ni7 Ni 0.500 0.938 0.219
Ni8 Ni 0.500 0.500 0.000
Ni9 Ni 0.500 0.062 0.781
Ni10 Ni 0.500 0.781 0.938
Zn1 Zn 0.000 0.113 0.613
Zn2 Zn 0.000 0.387 0.113
Zn3 Zn 0.000 0.887 0.387
Zn4 Zn 0.000 0.613 0.887
Pr1 Pr 0.000 0.817 0.683
Pr2 Pr 0.000 0.317 0.817
Pr3 Pr 0.000 0.183 0.317
Pr4 Pr 0.000 0.683 0.183
Mg1 Mg 0.000 0.000 0.000
Mg2 Mg 0.000 0.500 0.500
# - formation energy from the elements (meV per atom) = -157.1
# - N(E_F) (states/eV/f.u.) = 6.415

# GGA-PBE Cu2PdCN, relaxed
data_Cu2PdCN
_symmetry_space_group_name_H-M 'P 1'
_symmetry_Int_Tables_number 1
_cell_length_a 4.832
_cell_length_b 3.740
_cell_length_c 4.832
_cell_angle_alpha 90.00
_cell_angle_beta 90.00
_cell_angle_gamma 90.00
loop_
_symmetry_equiv_pos_as_xyz
'x,y,z'
loop_
_atom_site_label
_atom_site_type_symbol
_atom_site_fract_x
_atom_site_fract_y
_atom_site_fract_z
Cu1 Cu 0.500 0.000 0.000
Cu2 Cu 0.000 0.000 0.500
N1 N 0.500 0.500 0.500
C1 C 0.000 0.500 0.000
Pd1 Pd 0.000 0.000 0.000
# - raw formation energy (eV/atom) = 2.10
# - N(E_F) (states/eV/f.u.) = 2.543

# GGA-PBE Li2MnWN4, relaxed
data_Li2MnWN4
_symmetry_space_group_name_H-M 'P 1'
_symmetry_Int_Tables_number 1
_cell_length_a 5.183
_cell_length_b 5.807
_cell_length_c 6.373
_cell_angle_alpha 90.00
_cell_angle_beta 90.00
_cell_angle_gamma 90.00
loop_
_symmetry_equiv_pos_as_xyz
'x,y,z'
loop_
_atom_site_label
_atom_site_type_symbol
_atom_site_fract_x
_atom_site_fract_y
_atom_site_fract_z
Li1 Li 0.491 0.336 0.251
Li2 Li 0.991 0.664 0.751
Li3 Li 0.991 0.664 0.249
Li4 Li 0.491 0.336 0.749
Mn1 Mn 0.994 0.171 0.000
Mn2 Mn 0.494 0.829 0.500
N1 N 0.862 0.879 0.000
N2 N 0.849 0.859 0.500
N3 N 0.906 0.313 0.748
N4 N 0.406 0.687 0.248
N5 N 0.406 0.687 0.752
N6 N 0.906 0.313 0.252
N7 N 0.349 0.141 0.000
N8 N 0.362 0.121 0.500
W1 W 0.500 0.849 0.000
W2 W 0.000 0.151 0.500
# - raw formation energy (eV/atom) = -0.44
# - N(E_F) (states/eV/f.u.) = 2.314

# GGA-PBE LiTe2IF, relaxed
data_LiTe2IF
_symmetry_space_group_name_H-M 'P 1'
_symmetry_Int_Tables_number 1
_cell_length_a 4.646
_cell_length_b 4.646
_cell_length_c 7.683
_cell_angle_alpha 90.00
_cell_angle_beta 90.00
_cell_angle_gamma 90.00
loop_
_symmetry_equiv_pos_as_xyz
'x,y,z'
loop_
_atom_site_label
_atom_site_type_symbol
_atom_site_fract_x
_atom_site_fract_y
_atom_site_fract_z
Te1 Te 0.000 0.500 0.000
Te2 Te 0.500 0.000 0.000
I1 I 0.000 0.000 0.500
Li1 Li 0.500 0.500 0.500
F1 F 0.000 0.000 0.000
# - distance to the lowest polymorph of the same formula (meV per atom) = 0.0
# - raw formation energy (eV/atom) = -0.40
# - N(E_F) (states/eV/f.u.) = 4.454

# GGA-PBE Cd4CuAg, relaxed
data_Cd4CuAg
_symmetry_space_group_name_H-M 'P 1'
_symmetry_Int_Tables_number 1
_cell_length_a 4.511
_cell_length_b 4.512
_cell_length_c 6.651
_cell_angle_alpha 89.99
_cell_angle_beta 90.00
_cell_angle_gamma 90.00
loop_
_symmetry_equiv_pos_as_xyz
'x,y,z'
loop_
_atom_site_label
_atom_site_type_symbol
_atom_site_fract_x
_atom_site_fract_y
_atom_site_fract_z
Cd1 Cd 0.501 0.997 0.732
Cd2 Cd 0.501 0.997 0.264
Cd3 Cd 0.001 0.497 0.264
Cd4 Cd 0.001 0.497 0.732
Ag1 Ag 0.501 0.497 0.998
Cu1 Cu 0.001 0.997 0.498
# - distance to the lowest polymorph of the same formula (meV per atom) = 0.0
# - formation energy from the elements (meV per atom) = 66.2
# - N(E_F) (states/eV/f.u.) = 2.038

# GGA-PBE BaPtW, relaxed
data_BaPtW
_symmetry_space_group_name_H-M 'P 1'
_symmetry_Int_Tables_number 1
_cell_length_a 4.305
_cell_length_b 4.305
_cell_length_c 10.733
_cell_angle_alpha 90.00
_cell_angle_beta 90.00
_cell_angle_gamma 120.00
loop_
_symmetry_equiv_pos_as_xyz
'x,y,z'
loop_
_atom_site_label
_atom_site_type_symbol
_atom_site_fract_x
_atom_site_fract_y
_atom_site_fract_z
Ba1 Ba 0.000 0.000 0.000
Ba2 Ba 0.000 0.000 0.500
W1 W 0.333 0.667 0.250
W2 W 0.667 0.333 0.750
Pt1 Pt 0.667 0.333 0.250
Pt2 Pt 0.333 0.667 0.750
# - distance to the lowest polymorph of the same formula (meV per atom) = 223.8
# - formation energy from the elements (meV per atom) = 264.5
# - N(E_F) (states/eV/f.u.) = 1.562

# GGA-PBE ZrTa3, relaxed
data_ZrTa3
_symmetry_space_group_name_H-M 'P 1'
_symmetry_Int_Tables_number 1
_cell_length_a 4.025
_cell_length_b 4.025
_cell_length_c 5.597
_cell_angle_alpha 111.07
_cell_angle_beta 111.07
_cell_angle_gamma 90.00
loop_
_symmetry_equiv_pos_as_xyz
'x,y,z'
loop_
_atom_site_label
_atom_site_type_symbol
_atom_site_fract_x
_atom_site_fract_y
_atom_site_fract_z
Ta1 Ta 0.750 0.250 0.500
Ta2 Ta 0.500 0.500 0.000
Ta3 Ta 0.250 0.750 0.500
Zr1 Zr 0.000 0.000 0.000
# - distance to the lowest polymorph of the same formula (meV per atom) = 155.9
# - formation energy from the elements (meV per atom) = 238.1
# - N(E_F) (states/eV/f.u.) = 5.478

Which of these has the highest N(E_F)? Pr2MgZn2Ni5

N(E_F) of number 7 (BaPtW)? 1.562 states/eV/f.u.

Look up the N(E_F) of the eighth one. 5.478 states/eV/f.u.